w | Entry from Alexandria: crystalline HfRh2I at its relaxed geometry (GGA-PBE).

**Mass density**: 11.432 g/cm³
**Density of states at the Fermi level**: 2.849 states/eV per cell

Structure (POSCAR):
```
HfRh2I
1.0
0.0000 3.3360 3.3360
3.3360 0.0000 3.3360
3.3360 3.3360 0.0000
Rh I Hf
2 1 1
Direct
0.7500 0.7500 0.7500 Rh
0.2500 0.2500 0.2500 Rh
0.0000 0.0000 0.0000 I
0.5000 0.5000 0.5000 Hf
```

***

x | Entry from Alexandria: crystalline HfRh2I at its relaxed geometry (GGA-PBE).

**Mass density**: 8.231 g/cm³
**Density of states at the Fermi level**: 7.612 states/eV per cell

Structure (POSCAR):
```
HfRh2I
1.0
-4.8714 -2.2443 2.2433
3.1018 -2.5006 4.2339
-1.5876 2.6077 6.6948
Rh I Hf
4 2 2
Direct
0.3750 0.3633 0.7500 Rh
0.1133 0.6250 0.2500 Rh
0.6367 0.1250 0.2500 Rh
0.8750 0.8867 0.7500 Rh
0.5000 0.5000 0.0000 I
0.2500 0.7500 0.5000 I
0.7500 0.2500 0.5000 Hf
0.0000 0.0000 0.0000 Hf
```

***

Energy comparison, zero being the most stable, in kJ/mol of atoms: w 0.0; x 13.2.